(1)
Entry from the Alexandria database: an optimized crystal structure of LaZrIn (PBE-GGA).

Computed properties:
Calculated total energy   -5.54 eV per atom
N(E_F)   1.181 states/eV per atom

Lattice parameters (Å, degrees): 3.353 3.353 14.473 90.00 90.00 90.00
Space group I4mm (No. 107)
Symmetry-distinct sites (fractional):
La 0.000 0.000 0.000 x2
Zr 0.000 0.000 0.316 x2
In 0.000 0.000 0.675 x2

(2)
Entry from the Alexandria database: an optimized crystal structure of AcZnAgPd (PBE-GGA).

Computed properties:
Calculated total energy   -3.66 eV per atom
N(E_F)   0.425 states/eV per atom

Lattice parameters (Å, degrees): 7.175 7.175 7.175 90.00 90.00 90.00
Space group F-43m (No. 216)
Symmetry-distinct sites (fractional):
Ac 0.000 0.000 0.000 x4
Zn 0.250 0.250 0.750 x4
Ag 0.000 0.000 0.500 x4
Pd 0.250 0.250 0.250 x4

(3)
Entry from the Alexandria database: an optimized crystal structure of LiAgP2Cl (PBE-GGA).

Computed properties:
Formation energy (no corrections)   448 meV/atom
Calculated total energy   -3.04 eV per atom
N(E_F)   0.483 states/eV per atom

Lattice parameters (Å, degrees): 4.701 4.701 6.053 90.00 90.00 90.00
Space group P4/mmm (No. 123)
Symmetry-distinct sites (fractional):
Li 0.000 0.000 0.000 x1
Ag 0.500 0.500 0.500 x1
P 0.000 0.500 0.500 x2
Cl 0.500 0.500 0.000 x1

(4)
Entry from the Alexandria database: an optimized crystal structure of NaNpGeO5 (PBE-GGA).

Computed properties:
Formation energy (no corrections)   -2277 meV/atom
Calculated total energy   -7.74 eV per atom
N(E_F)   0.687 states/eV per atom

Lattice parameters (Å, degrees): 7.202 9.362 7.886 90.00 114.47 90.00
Space group C2/c (No. 15)
Symmetry-distinct sites (fractional):
Na 0.000 0.169 0.250 x4
Np 0.000 0.500 0.000 x4
Ge 0.000 0.180 0.750 x4
O 0.000 0.425 0.250 x4
O 0.100 0.288 0.622 x8
O 0.185 0.061 0.905 x8